Ag2PdAu2 | PBE | optimized geometry

```
data_Ag2PdAu2
_chemical_formula_sum 'Ag2 Pd1 Au2'
_symmetry_space_group_name_H-M 'P 1'
_symmetry_Int_Tables_number 1
_symmetry_space_group_name_Hall 'P 1'
_cell_length_a 3.7707
_cell_length_b 3.7707
_cell_length_c 7.5097
_cell_angle_alpha 75.46
_cell_angle_beta 75.46
_cell_angle_gamma 90.00
loop_
_atom_site_label
_atom_site_type_symbol
_atom_site_fract_x
_atom_site_fract_y
_atom_site_fract_z
_atom_site_occupancy
Au1 Au 0.7500 0.2500 0.5000 1
Au2 Au 0.2500 0.7500 0.5000 1
Pd1 Pd 0.0000 0.0000 0.0000 1
Ag1 Ag 0.4053 0.4053 0.1894 1
Ag2 Ag 0.5947 0.5947 0.8106 1
```

Calculated values
Its crystal system is tetragonal. As for the total energy: -16.226 eV for the cell shown. As for the polymorph energy (0 for the lowest one): 305 meV per atom. The calculation puts the density of states at the Fermi level at 0.310 states/eV/atom.